CrTcRu2: optimized geometry, PBE.

```
data_CrTcRu2
_space_group_name_H-M_alt 'F -4 3 m'
_space_group_IT_number 216
_space_group_name_Hall 'F -4 2 3'
_cell_length_a 6.058
_cell_length_b 6.058
_cell_length_c 6.058
_cell_angle_alpha 90.00
_cell_angle_beta 90.00
_cell_angle_gamma 90.00
loop_
_atom_site_label
_atom_site_type_symbol
_atom_site_fract_x
_atom_site_fract_y
_atom_site_fract_z
Cr1 Cr 0.000 0.000 0.000
Tc1 Tc 0.250 0.250 0.250
Ru1 Ru 0.000 0.000 0.500
Ru2 Ru 0.250 0.250 0.750
```

Output
The value obtained for the volume is 222.4 Å³/cell. The mass density comes out at 10.52 g/cm3. Its energy relative to the elements is 36 kJ per mole of atoms.